A plane-wave DFT calculation with PBE was carried out for an optimized crystal structure of YTi2Ru.

```
YTi2Ru
1.0
2.034 -0.300 4.179
-1.267 2.897 3.419
-2.403 -1.613 3.649
Y Ti Ru
1 2 1
direct
0.000 0.000 0.000 Y
0.750 0.750 0.750 Ti
0.250 0.250 0.250 Ti
0.500 0.500 0.500 Ru
```

Summary:
**VASP energy**: -7.847 eV per atom


A plane-wave DFT calculation with PBE was carried out for an optimized crystal structure of Cd2Cu2Pb.

```
Cd2Cu2Pb
1.0
3.473 0.000 0.000
0.000 3.473 0.000
1.737 1.737 8.838
Cu Cd Pb
2 2 1
direct
0.750 0.250 0.500 Cu
0.250 0.750 0.500 Cu
0.628 0.628 0.743 Cd
0.372 0.372 0.257 Cd
0.000 0.000 0.000 Pb
```

Summary:
**VASP energy**: -2.617 eV per atom


A plane-wave DFT calculation with PBE was carried out for an optimized crystal structure of SrCeCoN3.

```
SrCeCoN3
1.0
3.519 0.000 0.000
0.000 7.352 0.831
0.000 -1.924 7.368
N Sr Co Ce
6 2 2 2
direct
0.750 0.153 0.537 N
0.750 0.862 0.161 N
0.250 0.847 0.463 N
0.250 0.138 0.839 N
0.250 0.577 0.867 N
0.750 0.423 0.133 N
0.250 0.164 0.185 Sr
0.750 0.836 0.815 Sr
0.250 0.074 0.592 Co
0.750 0.926 0.408 Co
0.250 0.640 0.173 Ce
0.750 0.360 0.827 Ce
```

Summary:
**Formation energy without anion corrections**: -0.76 eV/atom
**VASP energy**: -7.375 eV per atom


A plane-wave DFT calculation with PBE was carried out for an optimized crystal structure of BaRu2Se.

```
BaRu2Se
1.0
5.509 -0.010 0.000
0.619 5.474 0.000
-2.104 -3.808 3.379
Se Ru Ba
1 2 1
direct
0.571 0.571 0.000 Se
0.905 0.905 0.000 Ru
0.760 0.260 0.500 Ru
0.264 0.764 0.500 Ba
```

Summary:
**Formation energy without anion corrections**: 0.27 eV/atom
**VASP energy**: -5.716 eV per atom


A plane-wave DFT calculation with PBE was carried out for an optimized crystal structure of LiGdThIn.

```
LiGdThIn
1.0
-0.452 5.046 -1.724
-3.143 3.451 2.618
2.177 3.995 2.818
In Th Gd Li
1 1 1 1
direct
0.500 0.500 0.500 In
0.750 0.750 0.750 Th
0.250 0.250 0.250 Gd
0.000 0.000 0.000 Li
```

Summary:
**VASP energy**: -6.662 eV per atom


A plane-wave DFT calculation with PBE was carried out for an optimized crystal structure of NaTcNi.

```
NaTcNi
1.0
-1.612 -2.462 0.697
1.626 -1.621 -1.967
7.633 -2.646 8.493
Ni Tc Na
2 2 2
direct
0.074 0.000 0.040 Ni
0.575 0.500 0.955 Ni
0.069 0.000 0.297 Tc
0.570 0.500 0.180 Tc
0.565 0.500 0.501 Na
0.075 0.000 0.778 Na
```

Summary:
**VASP energy**: -5.491 eV per atom


A plane-wave DFT calculation with PBE was carried out for an optimized crystal structure of TbMg2PaN4.

```
TbMg2PaN4
1.0
3.481 0.000 0.000
0.000 5.565 -0.038
0.000 2.026 5.561
N Mg Tb Pa
4 2 1 1
direct
0.000 0.740 0.740 N
0.500 0.258 0.735 N
0.500 0.742 0.265 N
0.000 0.260 0.260 N
0.000 0.000 0.000 Mg
0.500 0.000 0.500 Mg
0.500 0.500 0.000 Tb
0.000 0.500 0.500 Pa
```

Summary:
**Formation energy without anion corrections**: -1.28 eV/atom
**VASP energy**: -7.607 eV per atom


A plane-wave DFT calculation with PBE was carried out for an optimized crystal structure of FeH.

```
FeH
1.0
-0.524 -2.145 1.662
2.435 -1.127 -0.663
-0.641 0.423 2.610
H Fe
1 1
direct
0.194 0.745 0.365 H
0.446 0.998 0.865 Fe
```

Summary:
**VASP energy**: -5.853 eV per atom


A plane-wave DFT calculation with PBE was carried out for an optimized crystal structure of MgBRu2.

```
MgBRu2
1.0
-2.020 2.957 2.510
-3.598 -0.373 -2.456
-5.182 -3.957 4.300
Ru Mg B
4 2 2
direct
0.875 0.729 0.750 Ru
0.271 0.625 0.250 Ru
0.375 0.521 0.750 Ru
0.479 0.125 0.250 Ru
0.000 0.000 0.000 Mg
0.750 0.250 0.500 Mg
0.250 0.750 0.500 B
0.500 0.500 0.000 B
```

Summary:
**VASP energy**: -6.009 eV per atom


A plane-wave DFT calculation with PBE was carried out for an optimized crystal structure of Ta2BeN.

```
Ta2BeN
1.0
-0.134 1.461 -2.724
-2.532 1.599 -0.775
1.523 6.102 1.440
Be Ta N
1 2 1
direct
0.000 0.000 0.000 Be
0.767 0.767 0.698 Ta
0.233 0.233 0.302 Ta
0.500 0.500 0.500 N
```

Summary:
**Formation energy without anion corrections**: -0.37 eV/atom
**VASP energy**: -9.311 eV per atom


A plane-wave DFT calculation with PBE was carried out for an optimized crystal structure of SrTl2In.

```
SrTl2In
1.0
4.904 0.000 0.000
0.000 4.904 0.000
2.452 2.452 11.399
Sr Tl In
2 4 2
direct
0.500 0.500 0.000 Sr
0.250 0.750 0.500 Sr
0.875 0.903 0.750 Tl
0.653 0.125 0.250 Tl
0.375 0.347 0.750 Tl
0.097 0.625 0.250 Tl
0.750 0.250 0.500 In
0.000 0.000 0.000 In
```

Summary:
**VASP energy**: -2.389 eV per atom


A plane-wave DFT calculation with PBE was carried out for an optimized crystal structure of KCa2Hf.

```
KCa2Hf
1.0
0.000 4.182 4.182
4.182 0.000 4.182
4.182 4.182 0.000
Ca K Hf
2 1 1
direct
0.750 0.750 0.750 Ca
0.250 0.250 0.250 Ca
0.000 0.000 0.000 K
0.500 0.500 0.500 Hf
```

Summary:
**VASP energy**: -2.994 eV per atom